(1)
A relaxed Sm3ErTl3 crystal, computed with PBE.

The structure in POSCAR format:
```
Sm3ErTl3
1.0
-7.6238 4.2507 3.6303
-3.5188 -8.4198 2.4691
4.3435 0.6399 8.3723
Sm Tl Er
12 12 4
direct
0.8237 0.6763 0.3237
0.0695 0.4305 0.5695
0.1763 0.1763 0.1763
0.1741 0.8259 0.3259
0.4305 0.5695 0.0695
0.3259 0.1741 0.8259
0.5695 0.0695 0.4305
0.8259 0.3259 0.1741
0.9305 0.9305 0.9305
0.6741 0.6741 0.6741
0.3237 0.8237 0.6763
0.6763 0.3237 0.8237
0.8694 0.0015 0.2549
0.0015 0.2549 0.8694
0.4985 0.7451 0.3694
0.1306 0.5015 0.2451
0.5015 0.2451 0.1306
0.3694 0.4985 0.7451
0.7451 0.3694 0.4985
0.7549 0.6306 0.9985
0.2549 0.8694 0.0015
0.9985 0.7549 0.6306
0.6306 0.9985 0.7549
0.2451 0.1306 0.5015
0.5747 0.9253 0.0747
0.0747 0.5747 0.9253
0.9253 0.0747 0.5747
0.4253 0.4253 0.4253
```

Summary:
* calculated formation energy: -0.2624 eV per atom
* energy above the most stable polymorph in this dataset: 0 meV/atom
* space-group type: P2_13

(2)
A relaxed Cr3CdTe4 crystal, computed with PBE.

The structure in POSCAR format:
```
Cr3CdTe4
1.0
-0.8384 6.1598 -1.2043
-5.4056 -0.0912 3.2967
3.1896 1.4646 5.2705
Te Cr Cd
4 3 1
direct
0.2617 0.7383 0.7383
0.2617 0.2617 0.2617
0.7383 0.2617 0.7383
0.7383 0.7383 0.2617
0.5000 0.5000 0.0000
0.5000 0.0000 0.5000
0.0000 0.5000 0.5000
0.0000 0.0000 0.0000
```

Summary:
* uncorrected formation energy: -0.01 eV per atom
* space-group type: P-43m

(3)
A relaxed TaRe crystal, computed with PBE.

The structure in POSCAR format:
```
TaRe
1.0
4.5213 -0.0017 -0.0012
2.2622 3.9147 -0.0012
2.2622 1.3049 3.6908
Re Ta
2 2
direct
0.1250 0.1250 0.1250
0.8750 0.8750 0.8750
0.6250 0.6250 0.6250
0.3750 0.3750 0.3750
```

Summary:
* calculated formation energy: -0.1743 eV per atom
* space-group type: Fd-3m

(4)
A relaxed GaSbH2 crystal, computed with PBE.

The structure in POSCAR format:
```
GaSbH2
1.0
-5.1877 -1.2529 1.1809
-0.3782 -2.8282 -4.6621
-1.5633 -5.3128 0.1456
H Sb Ga
4 2 2
direct
0.3750 0.5596 0.7500
0.3096 0.6250 0.2500
0.4404 0.1250 0.2500
0.8750 0.6904 0.7500
0.7500 0.2500 0.5000
0.0000 0.0000 0.0000
0.2500 0.7500 0.5000
0.5000 0.5000 0.0000
```

Summary:
* energy above the most stable polymorph in this dataset: 374 meV/atom
* space-group type: I-42d

(5)
A relaxed CaP3I crystal, computed with PBE.

The structure in POSCAR format:
```
CaP3I
1.0
-1.0805 -0.2928 5.2006
-2.8614 -4.4048 -0.8425
4.3526 -2.9684 0.7372
Ca P I
1 3 1
direct
0.0000 0.0000 0.0000
0.5000 0.0000 0.0000
0.0000 0.5000 0.0000
0.0000 0.0000 0.5000
0.5000 0.5000 0.5000
```

Summary:
* uncorrected formation energy: 1.15 eV per atom
* energy above the most stable polymorph in this dataset: 372 meV/atom
* space-group type: Pm-3m

(6)
A relaxed NpGa2CuAu4 crystal, computed with PBE.

The structure in POSCAR format:
```
NpGa2CuAu4
1.0
4.4954 0.0000 0.0000
2.2477 3.8931 0.0000
2.2477 1.2977 8.6063
Ga Cu Au Np
2 1 4 1
direct
0.7541 0.7541 0.7377
0.2459 0.2459 0.2623
0.5000 0.5000 0.5000
0.8652 0.8652 0.4043
0.1348 0.1348 0.5957
0.6041 0.6041 0.1878
0.3959 0.3959 0.8122
0.0000 0.0000 0.0000
```

Summary:
* calculated formation energy: -0.1435 eV per atom
* space-group type: R-3m

For each record above, in turn, the calculated magnetization values are 0.0, 12.0, 0.0, 0.0, 0.0, 4.1 μB per formula unit.
For each record above, in turn, the calculated E values are -110.62, -42.45, -49.30, -24.64, -14.05, -37.35 eV per cell.